# 1
! PBE-GGA SiGeRh, optimized geometry; values from VASP
&SYSTEM
  ibrav = 0, nat = 6, ntyp = 3
/
ATOMIC_SPECIES
Si 28.09 Si.upf
Ge 72.64 Ge.upf
Rh 102.91 Rh.upf
CELL_PARAMETERS angstrom
1.3898 -5.8876 0.0000
1.3898 5.8876 0.0000
0.0000 0.0000 5.7614
ATOMIC_POSITIONS crystal
Si 0.0552 0.9448 0.5000
Si 0.9448 0.0552 0.0000
Ge 0.1933 0.8067 0.1793
Ge 0.8067 0.1933 0.6793
Rh 0.3952 0.6048 0.3399
Rh 0.6048 0.3952 0.8399
! Magnetic moment (μB per cell): 0.0
! Formation energy without anion corrections (eV/f.u.): -1.1
! Relative energy among the computed polymorphs (eV/atom): 0.037


# 2
! PBE-GGA SiGeRh, optimized geometry; values from VASP
&SYSTEM
  ibrav = 0, nat = 3, ntyp = 3
/
ATOMIC_SPECIES
Si 28.09 Si.upf
Ge 72.64 Ge.upf
Rh 102.91 Rh.upf
CELL_PARAMETERS angstrom
0.0000 2.9079 2.9079
2.9079 0.0000 2.9079
2.9079 2.9079 0.0000
ATOMIC_POSITIONS crystal
Si 0.0000 0.0000 0.0000
Ge 0.5000 0.5000 0.5000
Rh 0.7500 0.7500 0.7500
! Magnetic moment (μB per cell): 0.0
! Formation energy without anion corrections (eV/f.u.): -1.1
! Relative energy among the computed polymorphs (eV/atom): 0.051


# 3
! PBE-GGA Si2GeRh, optimized geometry; values from VASP
&SYSTEM
  ibrav = 0, nat = 8, ntyp = 3
/
ATOMIC_SPECIES
Si 28.09 Si.upf
Ge 72.64 Ge.upf
Rh 102.91 Rh.upf
CELL_PARAMETERS angstrom
-2.7798 2.7798 5.3177
2.7798 -2.7798 5.3177
2.7798 2.7798 -5.3177
ATOMIC_POSITIONS crystal
Si 0.1050 0.6250 0.9800
Si 0.3750 0.3550 0.4800
Si 0.6450 0.1250 0.0200
Si 0.8750 0.8950 0.5200
Ge 0.2500 0.7500 0.5000
Ge 0.5000 0.5000 0.0000
Rh 0.0000 0.0000 0.0000
Rh 0.7500 0.2500 0.5000
! Magnetic moment (μB per cell): 0.0
! Formation energy without anion corrections (eV/f.u.): 0.1